This record from OQMD describes a relaxed AlInFeH6 crystal. The functional is GGA-PBE.

Computed properties:
ρ (g/cm³): 5.0
Symmetry: F-43m (216)
Raw total energy (eV per atom): -3.661

a = 4.5700 Å, b = 4.5700 Å, c = 4.5700 Å
α = 60.00°, β = 60.00°, γ = 60.00°
Sites, in units of the cell vectors:
Al  0.0000  0.0000  0.0000
In  0.5000  0.5000  0.5000
Fe  0.2500  0.2500  0.2500
H  0.5038  0.5038  0.9962
H  0.5038  0.9962  0.5038
H  0.5038  0.9962  0.9962
H  0.9962  0.5038  0.5038
H  0.9962  0.5038  0.9962
H  0.9962  0.9962  0.5038

=====

This record from OQMD describes a relaxed AlFeH6Pt crystal. The functional is GGA-PBE.

Computed properties:
ρ (g/cm³): 7.4
Symmetry: F-43m (216)
Raw total energy (eV per atom): -3.881

a = 4.4811 Å, b = 4.4811 Å, c = 4.4811 Å
α = 60.00°, β = 60.00°, γ = 60.00°
Sites, in units of the cell vectors:
Al  0.0000  0.0000  0.0000
Fe  0.5000  0.5000  0.5000
H  0.5330  0.5330  0.9670
H  0.5330  0.9670  0.5330
H  0.5330  0.9670  0.9670
H  0.9670  0.5330  0.5330
H  0.9670  0.5330  0.9670
H  0.9670  0.9670  0.5330
Pt  0.2500  0.2500  0.2500